No. 1
Density functional theory data (PBE) for a relaxed Cs3Ac2CeO6 crystal.

Unit cell a=6.6583 b=11.5331 c=7.3303 alpha=90.00 beta=107.58 gamma=90.00
Space group C2/m (No. 12)
Unique sites:
Cs  0.0000  0.0000  0.0000
Cs  0.0000  0.3353  0.0000
Ac  0.0000  0.1668  0.5000
Ce  0.0000  0.5000  0.5000
O  0.2137  0.3420  0.6669
O  0.2397  0.0000  0.6682

## Properties
E_tot = -6.375 eV per atom
Formation energy (no corrections) = -2503.4 meV/atom

No. 2
Density functional theory data (PBE) for a relaxed Cs3Ac2CeS6 crystal.

Unit cell a=7.6649 b=13.2747 c=8.4934 alpha=90.00 beta=107.51 gamma=90.00
Space group C2/m (No. 12)
Unique sites:
Cs  0.0000  0.0000  0.0000
Cs  0.0000  0.3331  0.0000
Ac  0.0000  0.1666  0.5000
Ce  0.0000  0.5000  0.5000
S  0.2246  0.3385  0.6893
S  0.2403  0.0000  0.6895

## Properties
E_tot = -5.284 eV per atom
Formation energy (no corrections) = -1827.9 meV/atom

No. 3
Density functional theory data (PBE) for a relaxed Cs3AcCe2S6 crystal.

Unit cell a=7.5369 b=13.0531 c=8.4632 alpha=90.00 beta=107.27 gamma=90.00
Space group C2/m (No. 12)
Unique sites:
Cs  0.0000  0.0000  0.0000
Cs  0.0000  0.3342  0.0000
Ac  0.0000  0.5000  0.5000
Ce  0.0000  0.1667  0.5000
S  0.2180  0.0000  0.6867
S  0.2346  0.3279  0.6873

## Properties
E_tot = -5.395 eV per atom
Formation energy (no corrections) = -1786.6 meV/atom

No. 4
Density functional theory data (PBE) for a relaxed Cs4Ac3CeS8 crystal.

Unit cell a=8.8846 b=8.8846 c=24.3260 alpha=90.00 beta=90.00 gamma=120.00
Space group R-3m (No. 166, hexagonal axes)
Unique sites:
Cs  0.0000  0.0000  0.0000
Cs  0.0000  0.5000  0.0000
Ac  0.0000  0.5000  0.5000
Ce  0.0000  0.0000  0.5000
S  0.0000  0.0000  0.2312
S  0.0091  0.5045  0.2296

## Properties
E_tot = -5.256 eV per atom
Formation energy (no corrections) = -1837.4 meV/atom

No. 5
Density functional theory data (PBE) for a relaxed Cs4Ac3CeSe8 crystal.

Unit cell a=9.1989 b=9.1989 c=25.2489 alpha=90.00 beta=90.00 gamma=120.00
Space group R-3m (No. 166, hexagonal axes)
Unique sites:
Cs  0.0000  0.0000  0.0000
Cs  0.0000  0.5000  0.0000
Ac  0.0000  0.5000  0.5000
Ce  0.0000  0.0000  0.5000
Se  0.0000  0.0000  0.2326
Se  0.0088  0.5044  0.2310

## Properties
E_tot = -4.862 eV per atom
Formation energy (no corrections) = -1764.9 meV/atom

No. 6
Density functional theory data (PBE) for a relaxed Cs3Ac2CeSe6 crystal.

Unit cell a=7.9363 b=13.7375 c=8.8155 alpha=90.00 beta=107.46 gamma=90.00
Space group C2/m (No. 12)
Unique sites:
Cs  0.0000  0.0000  0.0000
Cs  0.0000  0.3324  0.0000
Ac  0.0000  0.1666  0.5000
Ce  0.0000  0.5000  0.5000
Se  0.2262  0.3383  0.6935
Se  0.2412  0.0000  0.6938

## Properties
E_tot = -4.891 eV per atom
Formation energy (no corrections) = -1756.3 meV/atom

No. 7
Density functional theory data (PBE) for a relaxed Cs3AcCe2Se6 crystal.

Unit cell a=7.8169 b=13.5380 c=8.7826 alpha=90.00 beta=107.27 gamma=90.00
Space group C2/m (No. 12)
Unique sites:
Cs  0.0000  0.0000  0.0000
Cs  0.0000  0.3347  0.0000
Ac  0.0000  0.5000  0.5000
Ce  0.0000  0.1668  0.5000
Se  0.2199  0.0000  0.6908
Se  0.2357  0.3282  0.6914

## Properties
E_tot = -4.996 eV per atom
Formation energy (no corrections) = -1708.9 meV/atom

No. 8
Density functional theory data (PBE) for a relaxed Ac2CeCu crystal.

Unit cell a=3.7936 b=3.7936 c=9.0836 alpha=90.00 beta=90.00 gamma=90.00
Space group P4/mmm (No. 123)
Unique sites:
Ac  0.0000  0.0000  0.2066
Ce  0.5000  0.5000  0.5000
Cu  0.5000  0.5000  0.0000

## Properties
ΔE to the lowest computed polymorph = 0.000 eV per atom
E_tot = -4.502 eV per atom

No. 9
Density functional theory data (PBE) for a relaxed Ac2CeCu crystal.

Unit cell a=3.7836 b=3.7836 c=34.1223 alpha=90.00 beta=90.00 gamma=120.00
Space group R-3m (No. 166, hexagonal axes)
Unique sites:
Ac  0.0000  0.0000  0.1035
Ce  0.0000  0.0000  0.0000
Cu  0.0000  0.0000  0.5000

## Properties
ΔE to the lowest computed polymorph = 0.295 eV per atom
E_tot = -4.207 eV per atom

No. 10
Density functional theory data (PBE) for a relaxed AcCeCu crystal.

Unit cell a=3.7185 b=3.7185 c=12.5736 alpha=90.00 beta=90.00 gamma=90.00
Space group I4mm (No. 107)
Unique sites:
Ac  0.0000  0.0000  0.0000
Ce  0.0000  0.0000  0.2790
Cu  0.0000  0.0000  0.6624

## Properties
ΔE to the lowest computed polymorph = 0.005 eV per atom
E_tot = -4.665 eV per atom

No. 11
Density functional theory data (PBE) for a relaxed AcCeCu2 crystal.

Unit cell a=7.3422 b=7.3422 c=7.3422 alpha=90.00 beta=90.00 gamma=90.00
Space group Fm-3m (No. 225)
Unique sites:
Ac  0.0000  0.0000  0.0000
Ce  0.0000  0.0000  0.5000
Cu  0.2500  0.2500  0.2500

## Properties
ΔE to the lowest computed polymorph = 0.027 eV per atom
E_tot = -4.568 eV per atom

No. 12
Density functional theory data (PBE) for a relaxed AcCeCu2 crystal.

Unit cell a=3.7011 b=3.7011 c=7.1799 alpha=90.00 beta=90.00 gamma=90.00
Space group P4/mmm (No. 123)
Unique sites:
Ac  0.0000  0.0000  0.0000
Ce  0.0000  0.0000  0.5000
Cu  0.5000  0.5000  0.2902

## Properties
ΔE to the lowest computed polymorph = 0.000 eV per atom
E_tot = -4.595 eV per atom

No. 13
Density functional theory data (PBE) for a relaxed AcCeCu3 crystal.

Unit cell a=3.9582 b=25.9859 c=4.4144 alpha=90.00 beta=90.00 gamma=90.00
Space group Cmcm (No. 63)
Unique sites:
Ac  0.0000  0.0733  0.2500
Ce  0.0000  0.2079  0.7500
Cu  0.0000  0.3256  0.7500
Cu  0.0000  0.3770  0.2500
Cu  0.0000  0.4754  0.2500

## Properties
E_tot = -4.593 eV per atom

No. 14
Density functional theory data (PBE) for a relaxed AcCeCu10 crystal.

Unit cell a=4.1089 b=5.2269 c=9.0037 alpha=90.00 beta=90.00 gamma=90.00
Space group Pmmm (No. 47)
Unique sites:
Ac  0.0000  0.0000  0.0000
Ce  0.0000  0.5000  0.5000
Cu  0.0000  0.0000  0.3410
Cu  0.0000  0.5000  0.1753
Cu  0.5000  0.0000  0.5000
Cu  0.5000  0.2540  0.2573
Cu  0.5000  0.5000  0.0000

## Properties
E_tot = -4.357 eV per atom

No. 15
Density functional theory data (PBE) for a relaxed AcCe2Cu crystal.

Unit cell a=3.5677 b=3.5677 c=33.2711 alpha=90.00 beta=90.00 gamma=120.00
Space group R-3m (No. 166, hexagonal axes)
Unique sites:
Ac  0.0000  0.0000  0.0000
Ce  0.0000  0.0000  0.1049
Cu  0.0000  0.0000  0.5000

## Properties
E_tot = -4.676 eV per atom

No. 16
Density functional theory data (PBE) for a relaxed AcCe2Cu4 crystal.

Unit cell a=4.3672 b=4.3672 c=26.9516 alpha=90.00 beta=90.00 gamma=120.00
Space group R-3m (No. 166, hexagonal axes)
Unique sites:
Ac  0.0000  0.0000  0.0000
Ce  0.0000  0.0000  0.1395
Cu  0.0000  0.0000  0.2533
Cu  0.0000  0.0000  0.4152

## Properties
E_tot = -4.741 eV per atom

No. 17
Density functional theory data (PBE) for a relaxed AcCeCu crystal.

Unit cell a=12.9813 b=3.8527 c=8.7318 alpha=90.00 beta=125.53 gamma=90.00
Space group C2/m (No. 12)
Unique sites:
Ac  0.1622  0.0000  0.0786
Ce  0.0936  0.5000  0.3895
Cu  0.1093  0.0000  0.6587

## Properties
ΔE to the lowest computed polymorph = 0.000 eV per atom
E_tot = -4.670 eV per atom

No. 18
Density functional theory data (PBE) for a relaxed AcCe2Ga2Cu2 crystal.

Unit cell a=4.3752 b=4.3752 c=28.2840 alpha=90.00 beta=90.00 gamma=120.00
Space group R-3m (No. 166, hexagonal axes)
Unique sites:
Ac  0.0000  0.0000  0.0000
Ce  0.0000  0.0000  0.1417
Ga  0.0000  0.0000  0.2548
Cu  0.0000  0.0000  0.4163

## Properties
E_tot = -4.709 eV per atom

No. 19
Density functional theory data (PBE) for a relaxed AcCe2Cu2Ge2 crystal.

Unit cell a=4.3045 b=4.3045 c=28.9173 alpha=90.00 beta=90.00 gamma=120.00
Space group R-3m (No. 166, hexagonal axes)
Unique sites:
Ac  0.0000  0.0000  0.0000
Ce  0.0000  0.0000  0.1419
Cu  0.0000  0.0000  0.4136
Ge  0.0000  0.0000  0.2563

## Properties
E_tot = -5.257 eV per atom

No. 20
Density functional theory data (PBE) for a relaxed Ac3Ce2Cu2Ge4 crystal.

Unit cell a=4.4240 b=4.4240 c=17.1887 alpha=90.00 beta=90.00 gamma=120.00
Space group P-3m1 (No. 164)
Unique sites:
Ac  0.0000  0.0000  0.0000
Ac  0.0000  0.0000  0.2497
Ce  0.3333  0.6667  0.5441
Cu  0.3333  0.6667  0.1272
Ge  0.3333  0.6667  0.3651
Ge  0.3333  0.6667  0.8760

## Properties
E_tot = -5.178 eV per atom

No. 21
Density functional theory data (PBE) for a relaxed AcCeCu2Ge2 crystal.

Unit cell a=4.3380 b=4.3380 c=8.1811 alpha=90.00 beta=90.00 gamma=120.00
Space group P-3m1 (No. 164)
Unique sites:
Ac  0.0000  0.0000  0.0000
Ce  0.0000  0.0000  0.5000
Cu  0.3333  0.6667  0.7262
Ge  0.3333  0.6667  0.2740

## Properties
E_tot = -5.174 eV per atom

No. 22
Density functional theory data (PBE) for a relaxed AcCeCuHg crystal.

Unit cell a=7.6672 b=7.6672 c=7.6672 alpha=90.00 beta=90.00 gamma=90.00
Space group F-43m (No. 216)
Unique sites:
Ac  0.0000  0.0000  0.0000
Ce  0.0000  0.0000  0.5000
Cu  0.2500  0.2500  0.7500
Hg  0.2500  0.2500  0.2500

## Properties
E_tot = -3.753 eV per atom

No. 23
Density functional theory data (PBE) for a relaxed AcCeInCu crystal.

Unit cell a=7.7426 b=7.7426 c=7.7426 alpha=90.00 beta=90.00 gamma=90.00
Space group F-43m (No. 216)
Unique sites:
Ac  0.0000  0.0000  0.0000
Ce  0.0000  0.0000  0.5000
In  0.2500  0.2500  0.7500
Cu  0.2500  0.2500  0.2500

## Properties
E_tot = -4.332 eV per atom

No. 24
Density functional theory data (PBE) for a relaxed AcCeCuIr crystal.

Unit cell a=7.2587 b=7.2587 c=7.2587 alpha=90.00 beta=90.00 gamma=90.00
Space group F-43m (No. 216)
Unique sites:
Ac  0.0000  0.0000  0.0000
Ce  0.0000  0.0000  0.5000
Cu  0.2500  0.2500  0.7500
Ir  0.2500  0.2500  0.2500

## Properties
E_tot = -6.062 eV per atom

No. 25
Density functional theory data (PBE) for a relaxed AcCeCuNi crystal.

Unit cell a=7.2173 b=7.2173 c=7.2173 alpha=90.00 beta=90.00 gamma=90.00
Space group F-43m (No. 216)
Unique sites:
Ac  0.0000  0.0000  0.0000
Ce  0.0000  0.0000  0.5000
Cu  0.2500  0.2500  0.2500
Ni  0.2500  0.2500  0.7500

## Properties
E_tot = -5.045 eV per atom